VASP calculation (PBE) on a geometry-optimized Zn3CoOs structure.

Properties
The total DFT energy (no corrections) comes out at -3.26 eV/atom. The value obtained for the offset from the most stable computed form is 0 meV per atom. The value obtained for the formation energy is 1.18 eV per atom.

Cell and atoms, written as CIF:
```
data_Zn3CoOs
_cell_length_a 4.7405
_cell_length_b 4.7405
_cell_length_c 4.7405
_cell_angle_alpha 90.00
_cell_angle_beta 90.00
_cell_angle_gamma 90.00
_space_group_name_H-M_alt 'P m -3 m'
_space_group_IT_number 221
_space_group_name_Hall '-P 4 2 3'
loop_
_atom_site_label
_atom_site_fract_x
_atom_site_fract_y
_atom_site_fract_z
Zn1 0.0000 0.0000 0.5000
Co1 0.5000 0.5000 0.5000
Os1 0.0000 0.0000 0.0000
```

VASP calculation (PBE) on a geometry-optimized ZnCoOs2 structure.

Properties
The total DFT energy (no corrections) comes out at -7.43 eV/atom. The value obtained for the formation energy is 0.28 eV per atom.

Cell and atoms, written as CIF:
```
data_ZnCoOs2
_cell_length_a 2.9223
_cell_length_b 4.2616
_cell_length_c 8.4359
_cell_angle_alpha 90.00
_cell_angle_beta 90.00
_cell_angle_gamma 90.00
_space_group_name_H-M_alt 'I m m 2'
_space_group_IT_number 44
loop_
_space_group_symop_operation_xyz
'x,y,z'
'-x,-y,z'
'-x,y,z'
'x,-y,z'
'x+1/2,y+1/2,z+1/2'
'-x+1/2,-y+1/2,z+1/2'
'-x+1/2,y+1/2,z+1/2'
'x+1/2,-y+1/2,z+1/2'
loop_
_atom_site_label
_atom_site_fract_x
_atom_site_fract_y
_atom_site_fract_z
Zn1 0.0000 0.0000 0.0000
Co1 0.0000 0.5000 0.7296
Os1 0.0000 0.0000 0.4821
Os2 0.0000 0.5000 0.2436
```

VASP calculation (PBE) on a geometry-optimized ZnCo3Os structure.

Properties
The total DFT energy (no corrections) comes out at -5.30 eV/atom. The value obtained for the offset from the most stable computed form is 0 meV per atom. The value obtained for the formation energy is 1.46 eV per atom.

Cell and atoms, written as CIF:
```
data_ZnCo3Os
_cell_length_a 4.4688
_cell_length_b 4.4688
_cell_length_c 4.4688
_cell_angle_alpha 90.00
_cell_angle_beta 90.00
_cell_angle_gamma 90.00
_space_group_name_H-M_alt 'P m -3 m'
_space_group_IT_number 221
_space_group_name_Hall '-P 4 2 3'
loop_
_atom_site_label
_atom_site_fract_x
_atom_site_fract_y
_atom_site_fract_z
Zn1 0.0000 0.0000 0.0000
Co1 0.0000 0.5000 0.5000
Os1 0.5000 0.5000 0.5000
```

VASP calculation (PBE) on a geometry-optimized ZnCoOs2 structure.

Properties
The total DFT energy (no corrections) comes out at -7.46 eV/atom. The value obtained for the formation energy is 0.25 eV per atom.

Cell and atoms, written as CIF:
```
data_ZnCoOs2
_cell_length_a 2.6721
_cell_length_b 4.2591
_cell_length_c 9.8259
_cell_angle_alpha 90.00
_cell_angle_beta 90.00
_cell_angle_gamma 90.00
_space_group_name_H-M_alt 'I m m m'
_space_group_IT_number 71
_space_group_name_Hall '-I 2 2'
loop_
_atom_site_label
_atom_site_fract_x
_atom_site_fract_y
_atom_site_fract_z
Zn1 0.0000 0.0000 0.0000
Co1 0.0000 0.0000 0.5000
Os1 0.0000 0.5000 0.2121
```